i | A plane-wave DFT calculation with GGA-PBE was carried out for CaP2Au after structural relaxation.

Structure (extended XYZ):
```
16
Lattice="6.764 0.000 0.000 0.000 6.764 0.000 0.000 0.000 6.764" Properties=species:S:1:pos:R:3 pbc="T T T"
Ca 0.000 0.000 0.000
Ca 0.000 3.382 3.382
Ca 3.382 0.000 3.382
Ca 3.382 3.382 0.000
P 0.000 0.000 3.382
P 0.000 3.382 0.000
P 1.691 1.691 5.073
P 1.691 5.073 1.691
P 3.382 0.000 0.000
P 3.382 3.382 3.382
P 5.073 1.691 1.691
P 5.073 5.073 5.073
Au 1.691 1.691 1.691
Au 1.691 5.073 5.073
Au 5.073 1.691 5.073
Au 5.073 5.073 1.691
```

Properties
M_tot   0.0 μB/cell
Mass density   6.42 g/cm3

ii | A plane-wave DFT calculation with GGA-PBE was carried out for CaP2Au after structural relaxation.

Structure (extended XYZ):
```
8
Lattice="4.283 0.000 0.000 0.000 5.830 0.000 0.000 0.000 6.640" Properties=species:S:1:pos:R:3 pbc="T T T"
Ca 0.000 0.000 0.000
Ca 2.141 2.915 3.320
P 0.000 2.915 1.221
P 0.000 2.915 5.419
P 2.141 0.000 2.099
P 2.141 0.000 4.541
Au 0.000 0.000 3.320
Au 2.141 2.915 0.000
```

Properties
M_tot   0.0 μB/cell
Mass density   5.99 g/cm3

Preferred: ii; penalty for the next structure: 0.335 eV/atom.